# ReRh2SN (GGA-PBE, optimized geometry)
# formation energy without anion corrections	623	meV per atom
# magnetic moment	0.0	Bohr magnetons per cell
# symmetry	P4/mmm, No. 123
# V	13.7	Å³/atom
# ρ	10.63	Mg/m³
data_ReRh2SN
_chemical_formula_sum 'Re1 Rh2 S1 N1'
_cell_length_a 4.142
_cell_length_b 4.142
_cell_length_c 3.990
_cell_angle_alpha 90.00
_cell_angle_beta 90.00
_cell_angle_gamma 90.00
_space_group_name_H-M_alt 'P 1'
_space_group_IT_number 1
loop_
_space_group_symop_operation_xyz
'x,y,z'
loop_
_atom_site_label
_atom_site_type_symbol
_atom_site_fract_x
_atom_site_fract_y
_atom_site_fract_z
_atom_site_occupancy
Re1 Re 0.000 0.000 0.500 1
N1 N 0.000 0.000 0.000 1
Rh1 Rh 0.000 0.500 0.000 1
S1 S 0.500 0.500 0.500 1
Rh2 Rh 0.500 0.000 0.000 1